(1)
## Ta3Nb3W2 (GGA-PBE)

Data for crystalline Ta3Nb3W2 at its relaxed geometry.

Summary:
Volume = 17.6 Å³ per atom
Space group = Pmmm, No. 47
Size of the total moment = 0.000 μB/f.u.
Calculated formation energy = -0.383 eV per formula unit
Offset from the most stable computed form = 0 meV per atom

Unit cell a=4.640 b=4.610 c=6.573 alpha=90.00 beta=90.00 gamma=90.00
Fractional positions:
Ta 0.500 0.000 0.500
Ta 0.000 0.500 0.000
Ta 0.000 0.500 0.500
Nb 0.500 0.500 0.751
Nb 0.500 0.500 0.249
Nb 0.500 0.000 0.000
W 0.000 0.000 0.750
W 0.000 0.000 0.250


(2)
## TaNbW14 (GGA-PBE)

Data for crystalline TaNbW14 at its relaxed geometry.

Summary:
Volume = 16.4 Å³ per atom
Space group = Cmmm, No. 65
Size of the total moment = 0.000 μB/f.u.
Calculated formation energy = -0.849 eV per formula unit

Unit cell a=5.535 b=5.535 c=9.064 alpha=90.00 beta=90.00 gamma=109.29
Fractional positions:
Ta 0.625 0.375 0.500
Nb 0.125 0.875 0.500
W 0.125 0.875 0.000
W 0.625 0.375 0.000
W 0.125 0.375 0.500
W 0.125 0.375 0.000
W 0.625 0.875 0.500
W 0.625 0.875 0.000
W 0.375 0.125 0.754
W 0.375 0.125 0.246
W 0.875 0.625 0.754
W 0.875 0.625 0.246
W 0.375 0.625 0.751
W 0.375 0.625 0.249
W 0.875 0.125 0.751
W 0.875 0.125 0.249


(3)
## TaNb2W (GGA-PBE)

Data for crystalline TaNb2W at its relaxed geometry.

Summary:
Volume = 17.6 Å³ per atom
Space group = P2/m, No. 10
Size of the total moment = 0.000 μB/f.u.
Calculated formation energy = -0.138 eV per formula unit
Offset from the most stable computed form = 0 meV per atom

Unit cell a=4.671 b=5.397 c=2.842 alpha=79.25 beta=90.00 gamma=90.00
Fractional positions:
Ta 0.500 0.250 0.250
Nb 0.000 0.997 0.991
Nb 0.000 0.503 0.509
W 0.500 0.750 0.750


(4)
## Ta3Nb3W2 (GGA-PBE)

Data for crystalline Ta3Nb3W2 at its relaxed geometry.

Summary:
Volume = 18.3 Å³ per atom
Space group = Cmcm, No. 63
Size of the total moment = 0.000 μB/f.u.
Calculated formation energy = 2.092 eV per formula unit
Offset from the most stable computed form = 309 meV per atom

Unit cell a=4.485 b=5.502 c=13.017 alpha=90.00 beta=90.00 gamma=114.05
Fractional positions:
Ta 0.924 0.848 0.407
Ta 0.076 0.152 0.907
Ta 0.924 0.848 0.093
Ta 0.076 0.152 0.593
Ta 0.746 0.493 0.250
Ta 0.254 0.507 0.750
Nb 0.638 0.275 0.468
Nb 0.362 0.725 0.968
Nb 0.638 0.275 0.032
Nb 0.362 0.725 0.532
Nb 0.461 0.922 0.250
Nb 0.539 0.078 0.750
W 0.807 0.614 0.859
W 0.193 0.386 0.359
W 0.807 0.614 0.641
W 0.193 0.386 0.141


(5)
## Ta3Nb2W (GGA-PBE)

Data for crystalline Ta3Nb2W at its relaxed geometry.

Summary:
Volume = 17.8 Å³ per atom
Space group = C2/c, No. 15
Size of the total moment = 0.000 μB/f.u.
Calculated formation energy = -0.209 eV per formula unit
Offset from the most stable computed form = 0 meV per atom

Unit cell a=4.645 b=8.039 c=8.039 alpha=119.86 beta=106.58 gamma=106.58
Fractional positions:
Ta 0.007 0.176 0.339
Ta 0.507 0.339 0.176
Ta 0.000 0.500 0.000
Ta 0.993 0.824 0.661
Ta 0.500 0.000 0.500
Ta 0.493 0.661 0.824
Nb 0.250 0.918 0.082
Nb 0.250 0.249 0.751
Nb 0.750 0.082 0.918
Nb 0.750 0.751 0.249
W 0.250 0.584 0.416
W 0.750 0.416 0.584


(6)
## Ta4NbW (GGA-PBE)

Data for crystalline Ta4NbW at its relaxed geometry.

Summary:
Volume = 17.8 Å³ per atom
Space group = P4/mmm, No. 123
Size of the total moment = 0.000 μB/f.u.
Calculated formation energy = -0.270 eV per formula unit
Offset from the most stable computed form = 0 meV per atom

Unit cell a=4.638 b=4.638 c=10.464 alpha=102.78 beta=102.80 gamma=90.00
Fractional positions:
Ta 0.830 0.830 0.159
Ta 0.670 0.670 0.841
Ta 0.170 0.170 0.841
Ta 0.330 0.330 0.159
Ta 0.417 0.917 0.334
Ta 0.083 0.583 0.666
Ta 0.583 0.083 0.666
Ta 0.917 0.417 0.334
Nb 0.000 0.000 0.500
Nb 0.500 0.500 0.500
W 0.750 0.250 0.000
W 0.250 0.750 0.000


(7)
## Ta2Nb5W (GGA-PBE)

Data for crystalline Ta2Nb5W at its relaxed geometry.

Summary:
Volume = 17.9 Å³ per atom
Space group = I4/mmm, No. 139
Size of the total moment = 0.000 μB/f.u.
Calculated formation energy = -0.209 eV per formula unit
Offset from the most stable computed form = 0 meV per atom

Unit cell a=4.650 b=4.650 c=7.392 alpha=108.33 beta=108.33 gamma=90.00
Fractional positions:
Ta 0.249 0.249 0.498
Ta 0.751 0.751 0.502
Nb 0.500 0.500 0.000
Nb 0.623 0.123 0.245
Nb 0.123 0.623 0.245
Nb 0.377 0.877 0.755
Nb 0.877 0.377 0.755
W 0.000 0.000 0.000


(8)
## Ta3Nb8W (GGA-PBE)

Data for crystalline Ta3Nb8W at its relaxed geometry.

Summary:
Volume = 21.0 Å³ per atom
Space group = I-42m, No. 121
Size of the total moment = 0.000 μB/f.u.
Calculated formation energy = 11.613 eV per formula unit

Unit cell a=7.025 b=7.025 c=7.025 alpha=93.66 beta=117.91 gamma=117.91
Fractional positions:
Ta 0.500 0.750 0.250
Ta 0.500 0.250 0.750
Ta 0.000 0.500 0.500
Nb 0.493 0.240 0.240
Nb 0.507 0.747 0.747
Nb 0.000 0.760 0.253
Nb 0.000 0.253 0.760
Nb 0.282 0.387 0.387
Nb 0.718 0.105 0.105
Nb 0.000 0.613 0.895
Nb 0.000 0.895 0.613
W 0.000 0.000 0.000


(9)
## Ta3Nb3W (GGA-PBE)

Data for crystalline Ta3Nb3W at its relaxed geometry.

Summary:
Volume = 18.9 Å³ per atom
Space group = Pnma, No. 62
Size of the total moment = 0.000 μB/f.u.
Calculated formation energy = 2.415 eV per formula unit
Offset from the most stable computed form = 0 meV per atom

Unit cell a=4.626 b=10.917 c=10.465 alpha=90.00 beta=90.00 gamma=90.00
Fractional positions:
Ta 0.750 0.674 0.803
Ta 0.250 0.826 0.303
Ta 0.250 0.326 0.197
Ta 0.750 0.174 0.697
Ta 0.750 0.194 0.993
Ta 0.250 0.306 0.493
Ta 0.250 0.806 0.007
Ta 0.750 0.694 0.507
Ta 0.750 0.913 0.689
Ta 0.250 0.587 0.189
Ta 0.250 0.087 0.311
Ta 0.750 0.413 0.811
Nb 0.750 0.940 0.930
Nb 0.250 0.560 0.430
Nb 0.250 0.060 0.070
Nb 0.750 0.440 0.570
Nb 0.750 0.945 0.437
Nb 0.250 0.555 0.937
Nb 0.250 0.055 0.563
Nb 0.750 0.445 0.063
Nb 0.750 0.706 0.108
Nb 0.250 0.794 0.608
Nb 0.250 0.294 0.892
Nb 0.750 0.206 0.392
W 0.750 0.949 0.186
W 0.250 0.551 0.686
W 0.250 0.051 0.814
W 0.750 0.449 0.314


(10)
## Ta2NbW (GGA-PBE)

Data for crystalline Ta2NbW at its relaxed geometry.

Summary:
Volume = 19.1 Å³ per atom
Space group = Immm, No. 71
Size of the total moment = 0.000 μB/f.u.
Calculated formation energy = 3.061 eV per formula unit

Unit cell a=6.148 b=6.148 c=6.148 alpha=55.85 beta=153.75 gamma=131.64
Fractional positions:
Ta 0.000 0.257 0.257
Ta 0.000 0.743 0.743
Nb 0.000 0.000 0.000
W 0.000 0.500 0.500


(11)
## Ta6Nb5W (GGA-PBE)

Data for crystalline Ta6Nb5W at its relaxed geometry.

Summary:
Volume = 18.0 Å³ per atom
Space group = C2/m, No. 12
Size of the total moment = 0.000 μB/f.u.
Calculated formation energy = -0.288 eV per formula unit

Unit cell a=4.676 b=6.610 c=8.092 alpha=114.11 beta=107.09 gamma=90.00
Fractional positions:
Nb 0.668 0.167 0.335
Nb 0.334 0.334 0.668
Nb 0.000 0.500 0.000
Nb 0.666 0.666 0.332
Nb 0.332 0.833 0.665
W 0.000 0.000 0.000
Ta 0.836 0.588 0.671
Ta 0.836 0.083 0.671
Ta 0.500 0.755 0.000
Ta 0.500 0.245 0.000
Ta 0.164 0.917 0.329
Ta 0.164 0.412 0.329


(12)
## TaNbW4 (GGA-PBE)

Data for crystalline TaNbW4 at its relaxed geometry.

Summary:
Volume = 17.6 Å³ per atom
Space group = F-43m, No. 216
Size of the total moment = 0.000 μB/f.u.
Calculated formation energy = 0.443 eV per formula unit
Offset from the most stable computed form = 167 meV per atom

Unit cell a=5.307 b=5.307 c=5.307 alpha=60.00 beta=60.00 gamma=60.00
Fractional positions:
Nb 0.250 0.250 0.250
W 0.625 0.625 0.125
W 0.625 0.125 0.625
W 0.625 0.625 0.625
W 0.125 0.625 0.625
Ta 0.000 0.000 0.000


Q: Among the records above, which one has the lowest calculated formation energy?
A: TaNbW14


Q: The highest calculated formation energy belongs to which entry?
A: Ta3Nb8W